No. 1
BaV2W (GGA-PBE, optimized geometry); crystal system = tetragonal; ρ = 6.19 Mg/m³; SG = I4_1/amd (141)
1.0
5.235 0.000 0.000
0.000 5.235 0.000
2.618 2.618 8.287
W Ba V
2 2 4
direct
0.750 0.250 0.500
0.000 0.000 0.000
0.500 0.500 0.000
0.250 0.750 0.500
0.875 0.625 0.250
0.375 0.125 0.750
0.875 0.125 0.250
0.875 0.125 0.750

No. 2
Ba2YV (GGA-PBE, optimized geometry); crystal system = tetragonal; ρ = 4.37 Mg/m³; SG = I-42d (122)
1.0
-1.720 -9.006 -2.891
-2.792 -2.324 8.902
-5.463 -4.802 2.225
Ba V Y
4 2 2
direct
0.582 0.125 0.250
0.375 0.418 0.750
0.168 0.625 0.250
0.875 0.832 0.750
0.250 0.750 0.500
0.500 0.500 0.000
0.000 0.000 0.000
0.750 0.250 0.500

No. 3
Ba2YV (GGA-PBE, optimized geometry); crystal system = cubic; ρ = 4.49 Mg/m³; SG = Fm-3m (225)
1.0
0.000 4.247 4.247
4.247 0.000 4.247
4.247 4.247 0.000
Y Ba V
1 2 1
direct
0.500 0.500 0.500
0.250 0.250 0.250
0.750 0.750 0.750
0.000 0.000 0.000

Record order is preserved below.
Calculated formation energy: 1.38 0.86 0.76 eV per atom
Record order is preserved below.
Energy relative to the lowest polymorph listed for this composition: 124 103 0 meV/atom